First-principles (GGA+U) data for an optimized crystal structure of KMn2CdF6, as listed in the Alexandria database.

The structure in POSCAR format:
```
KMn2CdF6
1.0
3.002 1.733 4.874
-3.002 1.733 4.874
0.000 -3.466 4.874
K Mn Cd F
1 2 1 6
direct
0.000 0.000 0.000
0.252 0.252 0.252
0.752 0.752 0.752
0.489 0.489 0.489
0.019 0.451 0.555
0.071 0.936 0.505
0.451 0.555 0.019
0.505 0.071 0.936
0.555 0.019 0.451
0.936 0.505 0.071
```

Properties
- Crystal system: trigonal
- Calculated total energy: -0.3838 Ry/atom

First-principles (GGA+U) data for an optimized crystal structure of MnZn2SnO4, as listed in the Alexandria database.

The structure in POSCAR format:
```
MnZn2SnO4
1.0
-2.439 2.439 4.857
2.439 -2.439 4.857
2.439 2.439 -4.857
Mn Zn Sn O
1 2 1 4
direct
0.000 0.000 0.000
0.250 0.750 0.500
0.750 0.250 0.500
0.500 0.500 0.000
0.094 0.628 0.000
0.372 0.372 0.466
0.628 0.094 0.000
0.906 0.906 0.534
```

Properties
- Crystal system: tetragonal
- Calculated total energy: -0.4070 Ry/atom

What did we get for spin magnetization? Answer: 1.000 0.625 μB per atom, in the order shown.